Entry 1:
## NiHPd2Se (GGA-PBE)

Data for NiHPd2Se after structural relaxation. Values from VASP.

Theoretical density: 9.26 g/cm³
Calculated total energy: -0.16796 hartree per atom

```
&SYSTEM
  ibrav = 0, nat = 5, ntyp = 4
/
ATOMIC_SPECIES
Ni 58.69 Ni.upf
Se 78.96 Se.upf
Pd 106.42 Pd.upf
H 1.01 H.upf
ATOMIC_POSITIONS angstrom
Ni -0.932 -0.852 1.148
Se -2.907 -1.625 -1.030
Pd -0.184 -1.645 -1.370
Pd -1.791 0.872 -0.807
H 0.000 0.000 0.000
CELL_PARAMETERS angstrom
-3.582 1.744 -1.614
-0.368 -3.291 -2.741
-1.865 -1.704 2.296
```

---

Entry 2:
## Sm2NiHPd6 (GGA-PBE)

Data for Sm2NiHPd6 after structural relaxation. Values from VASP.

Theoretical density: 9.77 g/cm³
Calculated total energy: -0.20156 hartree per atom

```
&SYSTEM
  ibrav = 0, nat = 10, ntyp = 4
/
ATOMIC_SPECIES
Sm 150.36 Sm.upf
Ni 58.69 Ni.upf
H 1.01 H.upf
Pd 106.42 Pd.upf
ATOMIC_POSITIONS angstrom
Sm 6.214 3.107 2.198
Sm 3.107 6.214 2.199
Ni 0.000 0.000 0.000
H 3.107 3.107 0.000
Pd 3.107 3.107 1.992
Pd 7.622 7.621 4.397
Pd 4.807 7.621 4.397
Pd 4.514 1.699 0.000
Pd 1.700 1.700 0.000
Pd 6.214 6.214 2.404
CELL_PARAMETERS angstrom
6.214 0.000 0.000
0.000 6.214 -0.001
3.107 3.107 4.398
```

---

Entry 3:
## SmNi3H8Pd2 (GGA-PBE)

Data for SmNi3H8Pd2 after structural relaxation. Values from VASP.

Theoretical density: 7.69 g/cm³
Calculated total energy: -0.16295 hartree per atom

```
&SYSTEM
  ibrav = 0, nat = 14, ntyp = 4
/
ATOMIC_SPECIES
Sm 150.36 Sm.upf
Ni 58.69 Ni.upf
H 1.01 H.upf
Pd 106.42 Pd.upf
ATOMIC_POSITIONS angstrom
Sm 3.583 -4.698 7.497
Ni 3.951 0.108 6.157
Ni 5.608 -1.205 4.542
Ni 5.328 -1.976 7.073
H 1.453 -1.354 2.592
H 5.215 -3.361 8.084
H 3.933 -0.686 4.593
H 3.669 -1.413 6.983
H 5.233 -2.654 5.458
H 1.340 -2.483 5.080
H 2.614 -3.493 3.837
H 2.399 -4.086 5.785
Pd 2.852 -0.208 3.096
Pd 3.269 -2.411 5.315
CELL_PARAMETERS angstrom
-0.569 -1.567 5.148
2.801 -4.238 1.863
4.219 0.912 3.588
```

---

Entry 4:
## Ni2SnHPd (GGA-PBE)

Data for Ni2SnHPd after structural relaxation. Values from VASP.

Theoretical density: 9.63 g/cm³
Calculated total energy: -0.18503 hartree per atom

```
&SYSTEM
  ibrav = 0, nat = 5, ntyp = 4
/
ATOMIC_SPECIES
Ni 58.69 Ni.upf
Sn 118.71 Sn.upf
Pd 106.42 Pd.upf
H 1.01 H.upf
ATOMIC_POSITIONS angstrom
Ni 0.000 1.950 0.000
Ni 1.950 0.000 0.000
Sn 1.950 1.950 1.947
Pd 0.000 0.000 1.947
H 0.000 0.000 0.000
CELL_PARAMETERS angstrom
3.901 0.000 0.000
0.000 3.901 0.000
0.000 0.000 3.893
```

---

Entry 5:
## NiSnHPd2 (GGA-PBE)

Data for NiSnHPd2 after structural relaxation. Values from VASP.

Theoretical density: 10.12 g/cm³
Calculated total energy: -0.18335 hartree per atom

```
&SYSTEM
  ibrav = 0, nat = 5, ntyp = 4
/
ATOMIC_SPECIES
Ni 58.69 Ni.upf
Sn 118.71 Sn.upf
Pd 106.42 Pd.upf
H 1.01 H.upf
ATOMIC_POSITIONS angstrom
Ni 0.000 0.000 1.956
Sn 2.026 2.026 1.956
Pd 0.000 2.026 0.000
Pd 2.026 0.000 0.000
H 0.000 0.000 0.000
CELL_PARAMETERS angstrom
4.051 0.000 0.000
0.000 4.051 0.000
0.000 0.000 3.913
```

---

Entry 6:
## Sr2NiHPd (GGA-PBE)

Data for Sr2NiHPd after structural relaxation. Values from VASP.

Theoretical density: 5.48 g/cm³
Calculated total energy: -0.13908 hartree per atom

```
&SYSTEM
  ibrav = 0, nat = 5, ntyp = 4
/
ATOMIC_SPECIES
Sr 87.62 Sr.upf
H 1.01 H.upf
Pd 106.42 Pd.upf
Ni 58.69 Ni.upf
ATOMIC_POSITIONS angstrom
Sr -0.704 -2.196 -1.263
Sr -1.125 1.446 -1.886
H 0.000 0.000 0.000
Pd -1.614 -0.025 0.943
Ni -3.443 -0.775 -2.206
CELL_PARAMETERS angstrom
-2.249 2.891 -3.772
-1.409 -4.392 -2.526
-3.227 -0.050 1.886
```